# GeBAu

A relaxed GeBAu crystal (PBE-GGA, Alexandria via LeMat-Bulk).

Summary:
Crystal system: triclinic
VASP energy in eV per cell: -27.08
Calculated formation energy in meV per atom: 343

Cell lengths 3.1400, 3.1701, 10.2101 Å; angles 90.16, 94.06, 119.43 degrees
Space group P1 (No. 1)
Symmetry-distinct sites (fractional):
Ge 0.0000 0.0000 0.0000
Ge 0.0266 0.7673 0.5724
B 0.2997 0.4034 0.4124
B 0.6386 0.0736 0.4116
Au 0.3959 0.6924 0.2016
Au 0.6069 0.3089 0.7960